one | Computed, not measured: a relaxed MoWSe2S2 crystal at the PBE level of DFT.

Unit cell a=3.2523 b=3.2523 c=14.2680 alpha=90.00 beta=90.00 gamma=120.00
Atoms (fractional coordinates):
Mo  0.0000  0.0000  0.0000
W  0.3333  0.6667  0.5000
Se  0.3333  0.6667  0.1191
Se  0.3333  0.6667  0.8809
S  0.0000  0.0000  0.3915
S  0.0000  0.0000  0.6085

Computed properties:
M_tot: 0.00 μB per cell


two | Computed, not measured: a relaxed MoWSe2S2 crystal at the PBE level of DFT.

Unit cell a=3.2543 b=3.2543 c=28.8687 alpha=90.00 beta=90.00 gamma=120.00
Atoms (fractional coordinates):
Mo  0.0000  0.0000  0.0000
Mo  0.3333  0.6667  0.2443
W  0.0000  0.0000  0.4928
W  0.3333  0.6667  0.7537
Se  0.0000  0.0000  0.1855
Se  0.0000  0.0000  0.3031
Se  0.0000  0.0000  0.6945
Se  0.0000  0.0000  0.8129
S  0.3333  0.6667  0.0535
S  0.3333  0.6667  0.4391
S  0.3333  0.6667  0.5465
S  0.3333  0.6667  0.9465

Computed properties:
M_tot: 0.00 μB per cell


Of them, one has the highest stability.


one | Computed, not measured: a relaxed MoWSe2S2 crystal at the PBE level of DFT.

Unit cell a=3.2526 b=3.2526 c=29.3172 alpha=90.00 beta=90.00 gamma=120.00
Atoms (fractional coordinates):
Mo  0.0000  0.0000  0.0000
Mo  0.3333  0.6667  0.2624
W  0.0000  0.0000  0.5132
W  0.3333  0.6667  0.7553
Se  0.0000  0.0000  0.2045
Se  0.0000  0.0000  0.3204
Se  0.3333  0.6667  0.0580
Se  0.3333  0.6667  0.9420
S  0.0000  0.0000  0.7024
S  0.0000  0.0000  0.8082
S  0.3333  0.6667  0.4603
S  0.3333  0.6667  0.5661

Computed properties:
M_tot: 0.00 μB per cell


two | Computed, not measured: a relaxed MoWSe2S2 crystal at the PBE level of DFT.

Unit cell a=3.2570 b=3.2570 c=13.8408 alpha=90.00 beta=90.00 gamma=120.00
Atoms (fractional coordinates):
Mo  0.0000  0.0000  0.0000
W  0.6667  0.3333  0.5008
Se  0.0000  0.0000  0.3775
Se  0.0000  0.0000  0.6242
S  0.6667  0.3333  0.1115
S  0.6667  0.3333  0.8885

Computed properties:
M_tot: 0.00 μB per cell


Of them, one has the highest stability.


one | Computed, not measured: a relaxed MoW3Se4S4 crystal at the PBE level of DFT.

Unit cell a=3.2552 b=3.2552 c=29.6377 alpha=90.00 beta=90.00 gamma=120.00
Atoms (fractional coordinates):
Mo  0.0000  0.0000  0.0000
W  0.0000  0.0000  0.5174
W  0.6667  0.3333  0.2505
W  0.6667  0.3333  0.7606
Se  0.0000  0.0000  0.1928
Se  0.0000  0.0000  0.3081
Se  0.6667  0.3333  0.4598
Se  0.6667  0.3333  0.5751
S  0.0000  0.0000  0.7083
S  0.0000  0.0000  0.8129
S  0.6667  0.3333  0.0521
S  0.6667  0.3333  0.9479

Computed properties:
M_tot: 0.00 μB per cell


two | Computed, not measured: a relaxed MoW3Se4S4 crystal at the PBE level of DFT.

Unit cell a=3.2534 b=3.2534 c=29.7191 alpha=90.00 beta=90.00 gamma=120.00
Atoms (fractional coordinates):
Mo  0.0000  0.0000  0.0000
W  0.0000  0.0000  0.5053
W  0.3333  0.6667  0.2560
W  0.3333  0.6667  0.7499
Se  0.0000  0.0000  0.6924
Se  0.0000  0.0000  0.8074
Se  0.3333  0.6667  0.0572
Se  0.3333  0.6667  0.9428
S  0.0000  0.0000  0.2038
S  0.0000  0.0000  0.3082
S  0.3333  0.6667  0.4531
S  0.3333  0.6667  0.5575

Computed properties:
M_tot: 0.00 μB per cell


Of them, two has the highest stability.


one | Computed, not measured: a relaxed MoW3Se6S2 crystal at the PBE level of DFT.

Unit cell a=3.2900 b=3.2900 c=35.6873 alpha=90.00 beta=90.00 gamma=120.00
Atoms (fractional coordinates):
Mo  0.0000  0.0000  0.0000
W  0.0000  0.0000  0.4023
W  0.6667  0.3333  0.1969
W  0.6667  0.3333  0.7999
Se  0.0000  0.0000  0.1494
Se  0.0000  0.0000  0.2444
Se  0.0000  0.0000  0.7524
Se  0.0000  0.0000  0.8474
Se  0.6667  0.3333  0.3548
Se  0.6667  0.3333  0.4498
S  0.6667  0.3333  0.0430
S  0.6667  0.3333  0.9570

Computed properties:
M_tot: 0.00 μB per cell


two | Computed, not measured: a relaxed MoW3Se6S2 crystal at the PBE level of DFT.

Unit cell a=3.2881 b=3.2881 c=29.6983 alpha=90.00 beta=90.00 gamma=120.00
Atoms (fractional coordinates):
Mo  0.0000  0.0000  0.0000
W  0.0000  0.0000  0.4884
W  0.3333  0.6667  0.2458
W  0.3333  0.6667  0.7423
Se  0.0000  0.0000  0.6852
Se  0.0000  0.0000  0.7994
Se  0.3333  0.6667  0.0568
Se  0.3333  0.6667  0.4313
Se  0.3333  0.6667  0.5455
Se  0.3333  0.6667  0.9432
S  0.0000  0.0000  0.1940
S  0.0000  0.0000  0.2977

Computed properties:
M_tot: 0.00 μB per cell


Of them, two has the highest stability.


one | Computed, not measured: a relaxed Si3MoS crystal at the PBE level of DFT.

Unit cell a=4.4109 b=4.4109 c=4.4109 alpha=90.00 beta=90.00 gamma=90.00
Atoms (fractional coordinates):
Si  0.0000  0.0000  0.5000
Si  0.0000  0.5000  0.0000
Si  0.5000  0.0000  0.0000
Mo  0.5000  0.5000  0.5000
S  0.0000  0.0000  0.0000

Computed properties:
M_tot: 2.20 μB per cell


two | Computed, not measured: a relaxed Si3MoS crystal at the PBE level of DFT.

Unit cell a=4.7506 b=4.7506 c=4.7506 alpha=90.00 beta=90.00 gamma=90.00
Atoms (fractional coordinates):
Si  0.0000  0.0000  0.5000
Si  0.0000  0.5000  0.0000
Si  0.5000  0.0000  0.0000
Mo  0.0000  0.0000  0.0000
S  0.5000  0.5000  0.5000

Computed properties:
M_tot: 1.65 μB per cell


Of them, two has the highest stability.


one | Computed, not measured: a relaxed SiMo2S crystal at the PBE level of DFT.

Unit cell a=4.2936 b=4.2936 c=4.2936 alpha=60.00 beta=60.00 gamma=60.00
Atoms (fractional coordinates):
Si  0.0000  0.0000  0.0000
Mo  0.2500  0.2500  0.2500
Mo  0.7500  0.7500  0.7500
S  0.5000  0.5000  0.5000

Computed properties:
M_tot: 0.00 μB per cell


two | Computed, not measured: a relaxed SiMo2S crystal at the PBE level of DFT.

Unit cell a=6.7664 b=6.7664 c=6.7664 alpha=133.06 beta=133.06 gamma=68.56
Atoms (fractional coordinates):
Si  0.0000  0.0000  0.0000
Si  0.7500  0.2500  0.5000
Mo  0.1431  0.6250  0.0181
Mo  0.3750  0.3931  0.5181
Mo  0.6069  0.1250  0.9819
Mo  0.8750  0.8569  0.4819
S  0.2500  0.7500  0.5000
S  0.5000  0.5000  0.0000

Computed properties:
M_tot: 3.98 μB per cell


Of them, one has the highest stability.


one | Computed, not measured: a relaxed SrMoS2 crystal at the PBE level of DFT.

Unit cell a=4.6740 b=4.6740 c=4.6740 alpha=60.00 beta=60.00 gamma=60.00
Atoms (fractional coordinates):
Sr  0.0000  0.0000  0.0000
Mo  0.5000  0.5000  0.5000
S  0.2500  0.2500  0.2500
S  0.7500  0.7500  0.7500

Computed properties:
M_tot: 0.00 μB per cell


two | Computed, not measured: a relaxed SrMoS2 crystal at the PBE level of DFT.

Unit cell a=8.9163 b=8.9163 c=8.9163 alpha=22.98 beta=22.98 gamma=22.98
Atoms (fractional coordinates):
Sr  0.0000  0.0000  0.0000
Mo  0.5000  0.5000  0.5000
S  0.1123  0.1123  0.1123
S  0.8877  0.8877  0.8877

Computed properties:
M_tot: 0.00 μB per cell


three | Computed, not measured: a relaxed SrMoS2 crystal at the PBE level of DFT.

Unit cell a=7.9853 b=7.9853 c=7.9853 alpha=33.10 beta=33.10 gamma=33.10
Atoms (fractional coordinates):
Sr  0.0000  0.0000  0.0000
Mo  0.5000  0.5000  0.5000
S  0.3976  0.3976  0.3976
S  0.6024  0.6024  0.6024

Computed properties:
M_tot: 3.78 μB per cell


four | Computed, not measured: a relaxed SrMoS2 crystal at the PBE level of DFT.

Unit cell a=7.4938 b=7.4938 c=7.4938 alpha=134.74 beta=134.74 gamma=65.94
Atoms (fractional coordinates):
Sr  0.0000  0.0000  0.0000
Sr  0.7500  0.2500  0.5000
Mo  0.2500  0.7500  0.5000
Mo  0.5000  0.5000  0.0000
S  0.2168  0.6250  0.0918
S  0.3750  0.4668  0.5918
S  0.5332  0.1250  0.9082
S  0.8750  0.7832  0.4082

Computed properties:
M_tot: 0.00 μB per cell


Of them, four has the highest stability.


one | Computed, not measured: a relaxed SrMo6S8 crystal at the PBE level of DFT.

Unit cell a=6.5755 b=6.8869 c=7.9660 alpha=74.77 beta=65.98 gamma=77.22
Atoms (fractional coordinates):
Sr  0.0000  0.0000  0.0000
Mo  0.1515  0.5348  0.7950
Mo  0.4106  0.6843  0.4204
Mo  0.4679  0.3060  0.9615
Mo  0.5321  0.6940  0.0385
Mo  0.5894  0.3157  0.5796
Mo  0.8485  0.4652  0.2050
S  0.1677  0.8712  0.6438
S  0.2062  0.5676  0.0786
S  0.2604  0.3720  0.5294
S  0.4946  0.0164  0.8214
S  0.5054  0.9836  0.1786
S  0.7396  0.6280  0.4706
S  0.7938  0.4324  0.9214
S  0.8323  0.1288  0.3562

Computed properties:
M_tot: 0.00 μB per cell


two | Computed, not measured: a relaxed SrMo6S8 crystal at the PBE level of DFT.

Unit cell a=6.6190 b=6.6190 c=6.6190 alpha=89.11 beta=89.11 gamma=89.11
Atoms (fractional coordinates):
Sr  0.0000  0.0000  0.0000
Mo  0.2290  0.4173  0.5623
Mo  0.4173  0.5623  0.2290
Mo  0.4377  0.7710  0.5827
Mo  0.5623  0.2290  0.4173
Mo  0.5827  0.4377  0.7710
Mo  0.7710  0.5827  0.4377
S  0.1262  0.7397  0.3842
S  0.2454  0.2454  0.2454
S  0.2603  0.6158  0.8738
S  0.3842  0.1262  0.7397
S  0.6158  0.8738  0.2603
S  0.7397  0.3842  0.1262
S  0.7546  0.7546  0.7546
S  0.8738  0.2603  0.6158

Computed properties:
M_tot: 0.00 μB per cell


Of them, two has the highest stability.